A:
Below is crystalline SrLi3N at its relaxed geometry, with properties calculated at the PBE level.

Unit cell a=5.5685 b=5.5685 c=5.5685 alpha=90.00 beta=90.00 gamma=90.00
Last column: nearest neighbours and their distance in Å.
Space group Pm-3m (No. 221)
One atom of each set of equivalent atoms:
Sr (0.0000, 0.0000, 0.0000)  6 Li 2.78
Li (0.0000, 0.0000, 0.5000)  2 Sr 2.78
N (0.5000, 0.5000, 0.5000)  12 Li 3.94

Results
N(E_F) = 2.716 states/eV per cell

---

B:
Below is crystalline SrLi3N at its relaxed geometry, with properties calculated at the PBE level.

Unit cell a=4.3814 b=4.3814 c=4.3814 alpha=90.00 beta=90.00 gamma=90.00
Last column: nearest neighbours and their distance in Å.
Space group Pm-3m (No. 221)
One atom of each set of equivalent atoms:
Sr (0.0000, 0.0000, 0.0000)  12 Li 3.10
Li (0.0000, 0.5000, 0.5000)  2 N 2.19
N (0.5000, 0.5000, 0.5000)  6 Li 2.19

Results
N(E_F) = 0.991 states/eV per cell

---

What is the stability order? It is B, A, from most stable to least stable.

---

A:
Below is crystalline SrLiN2 at its relaxed geometry, with properties calculated at the PBE level.

Unit cell a=3.8228 b=3.8228 c=19.9320 alpha=90.00 beta=90.00 gamma=120.00
Last column: nearest neighbours and their distance in Å.
Space group R-3m (No. 166, hexagonal axes)
One atom of each set of equivalent atoms:
Sr (0.0000, 0.0000, 0.0000)  6 N 2.61
Li (0.0000, 0.0000, 0.5000)  2 N 1.93
N (0.0000, 0.0000, 0.4033)  1 Li 1.93

Results
N(E_F) = 5.077 states/eV per cell

---

B:
Below is crystalline SrLiN2 at its relaxed geometry, with properties calculated at the PBE level.

Unit cell a=3.8344 b=3.8344 c=13.0683 alpha=90.00 beta=90.00 gamma=120.00
Last column: nearest neighbours and their distance in Å.
Space group R-3m (No. 166, hexagonal axes)
One atom of each set of equivalent atoms:
Sr (0.0000, 0.0000, 0.0000)  8 N 2.64-2.92
Li (0.0000, 0.0000, 0.5000)  6 N 2.33
N (0.0000, 0.0000, 0.2232)  3 Li 2.33

Results
N(E_F) = 0.552 states/eV per cell

---

What is the stability order? It is B, A, from most stable to least stable.

---

A:
Below is crystalline SrLiN2 at its relaxed geometry, with properties calculated at the PBE level.

Unit cell a=4.0103 b=4.0103 c=12.9600 alpha=90.00 beta=90.00 gamma=90.00
Last column: nearest neighbours and their distance in Å.
Space group I4_1/amd (No. 141, origin choice 2)
One atom of each set of equivalent atoms:
Sr (0.0000, 0.2500, 0.3750)  8 N 2.77, 4 Li 2.84
Li (0.0000, 0.2500, 0.8750)  4 N 1.91
N (0.0000, 0.0000, 0.0000)  2 Li 1.91, 2 N 2.01

Results
N(E_F) = 8.925 states/eV per cell

---

B:
Below is crystalline SrLiN2 at its relaxed geometry, with properties calculated at the PBE level.

Unit cell a=6.0926 b=6.0926 c=6.0926 alpha=90.00 beta=90.00 gamma=90.00
Last column: nearest neighbours and their distance in Å.
Space group Fm-3m (No. 225)
One atom of each set of equivalent atoms:
Sr (0.0000, 0.0000, 0.0000)  8 N 2.64
Li (0.0000, 0.0000, 0.5000)  8 N 2.64
N (0.2500, 0.2500, 0.2500)  4 Li 2.64, 4 Sr 2.64

Results
N(E_F) = 2.118 states/eV per cell

---

What is the stability order? It is A, B, from most stable to least stable.

---

A:
Below is crystalline Sr4Li2N at its relaxed geometry, with properties calculated at the PBE level.

Unit cell a=5.2961 b=5.2961 c=17.6482 alpha=90.00 beta=90.00 gamma=90.00
Last column: nearest neighbours and their distance in Å.
Space group I4/mmm (No. 139)
One atom of each set of equivalent atoms:
Sr (0.0000, 0.0000, 0.1490)  1 N 2.63
Sr (0.0000, 0.5000, 0.0000)  2 N 2.65
Li (0.0000, 0.0000, 0.3462)  9 Sr 3.48-3.79
N (0.0000, 0.0000, 0.0000)  6 Sr 2.63-2.65

Results
N(E_F) = 9.131 states/eV per cell

---

B:
Below is crystalline Sr4Li2N at its relaxed geometry, with properties calculated at the PBE level.

Unit cell a=6.5113 b=8.2515 c=9.9669 alpha=90.00 beta=103.59 gamma=90.00
Last column: nearest neighbours and their distance in Å.
Space group P2_1/m (No. 11)
One atom of each set of equivalent atoms:
Sr (0.1021, 0.2500, 0.0324)  1 N 2.44
Sr (0.1531, 0.7500, 0.3373)  1 N 2.48
Sr (0.3125, 0.5035, 0.7264)  1 N 2.42
Li (0.2365, 0.2500, 0.4051)  6 Sr 3.61-4.04
Li (0.4819, 0.7500, 0.0599)  1 N 2.11
N (0.2082, 0.2500, 0.8134)  1 Li 2.11

Results
N(E_F) = 9.310 states/eV per cell

---

What is the stability order? It is B, A, from most stable to least stable.

---

A:
Below is crystalline SrLiTeN2 at its relaxed geometry, with properties calculated at the PBE level.

Unit cell a=4.9119 b=4.9119 c=6.6362 alpha=90.00 beta=90.00 gamma=90.00
Last column: nearest neighbours and their distance in Å.
Space group P4/mmm (No. 123)
One atom of each set of equivalent atoms:
Sr (0.0000, 0.0000, 0.0000)  4 N 2.46
Li (0.5000, 0.5000, 0.5000)  4 Te 3.47
Te (0.0000, 0.0000, 0.5000)  2 Sr 3.32, 4 Li 3.47
N (0.0000, 0.5000, 0.0000)  2 Sr 2.46

Results
N(E_F) = 2.139 states/eV per cell

---

B:
Below is crystalline SrLiTeN2 at its relaxed geometry, with properties calculated at the PBE level.

Unit cell a=4.5692 b=4.5692 c=5.2052 alpha=90.00 beta=90.00 gamma=90.00
Last column: nearest neighbours and their distance in Å.
Space group P4/mmm (No. 123)
One atom of each set of equivalent atoms:
Sr (0.0000, 0.0000, 0.0000)  4 Te 3.23, 8 N 3.46
Li (0.5000, 0.5000, 0.5000)  4 N 2.28
Te (0.5000, 0.5000, 0.0000)  2 Li 2.60
N (0.0000, 0.5000, 0.5000)  2 Li 2.28

Results
N(E_F) = 2.887 states/eV per cell

---

What is the stability order? It is B, A, from most stable to least stable.

---

A:
Below is crystalline SrLiTe2N at its relaxed geometry, with properties calculated at the PBE level.

Unit cell a=6.3226 b=6.3226 c=4.9227 alpha=90.00 beta=90.00 gamma=90.00
Last column: nearest neighbours and their distance in Å.
Space group P4/mmm (No. 123)
One atom of each set of equivalent atoms:
Sr (0.0000, 0.0000, 0.0000)  2 N 2.46
Li (0.5000, 0.5000, 0.5000)  8 Te 4.01, 4 N 4.47
Te (0.0000, 0.5000, 0.0000)  2 Sr 3.16
N (0.0000, 0.0000, 0.5000)  2 Sr 2.46

Results
N(E_F) = 5.330 states/eV per cell

---

B:
Below is crystalline SrLiTe2N at its relaxed geometry, with properties calculated at the PBE level.

Unit cell a=5.6620 b=5.6620 c=3.9564 alpha=90.00 beta=90.00 gamma=90.00
Last column: nearest neighbours and their distance in Å.
Space group P4/mmm (No. 123)
One atom of each set of equivalent atoms:
Sr (0.0000, 0.0000, 0.0000)  8 Te 3.45
Li (0.5000, 0.5000, 0.5000)  2 N 1.98
Te (0.0000, 0.5000, 0.5000)  2 Li 2.83
N (0.5000, 0.5000, 0.0000)  2 Li 1.98

Results
N(E_F) = 4.472 states/eV per cell

---

What is the stability order? It is B, A, from most stable to least stable.

---

A:
Below is crystalline Sr2LiZnN at its relaxed geometry, with properties calculated at the PBE level.

Unit cell a=5.3156 b=5.3156 c=4.1502 alpha=90.00 beta=90.00 gamma=90.00
Last column: nearest neighbours and their distance in Å.
Space group P4/mmm (No. 123)
One atom of each set of equivalent atoms:
Sr (0.0000, 0.5000, 0.0000)  2 N 2.66
Li (0.0000, 0.0000, 0.5000)  2 N 2.08
Zn (0.5000, 0.5000, 0.5000)  8 Sr 3.37, 4 Li 3.76
N (0.0000, 0.0000, 0.0000)  2 Li 2.08

Results
N(E_F) = 3.478 states/eV per cell

---

B:
Below is crystalline Sr2LiZnN at its relaxed geometry, with properties calculated at the PBE level.

Unit cell a=5.5319 b=5.5319 c=4.3445 alpha=90.00 beta=90.00 gamma=90.00
Last column: nearest neighbours and their distance in Å.
Space group P4/mmm (No. 123)
One atom of each set of equivalent atoms:
Sr (0.0000, 0.5000, 0.0000)  2 Li 2.77
Li (0.0000, 0.0000, 0.0000)  2 Zn 2.17
Zn (0.0000, 0.0000, 0.5000)  2 Li 2.17
N (0.5000, 0.5000, 0.5000)  8 Sr 3.52, 4 Zn 3.91

Results
N(E_F) = 2.371 states/eV per cell

---

What is the stability order? It is A, B, from most stable to least stable.